(1)
# K2AlFeBr6 (GGA-PBE, relaxed)
data_K2AlFeBr6
_cell_length_a 10.527
_cell_length_b 10.527
_cell_length_c 10.527
_cell_angle_alpha 90.00
_cell_angle_beta 90.00
_cell_angle_gamma 90.00
_symmetry_space_group_name_H-M 'F m -3 m'
_symmetry_Int_Tables_number 225
_symmetry_space_group_name_Hall '-F 4 2 3'
loop_
_atom_site_label
_atom_site_type_symbol
_atom_site_fract_x
_atom_site_fract_y
_atom_site_fract_z
K1 K 0.250 0.250 0.250
Al1 Al 0.000 0.000 0.000
Fe1 Fe 0.000 0.000 0.500
Br1 Br 0.000 0.000 0.249
# - Total DFT energy (no corrections): -137.19 eV/cell



(2)
# Gd2In8Co (GGA-PBE, relaxed)
data_Gd2In8Co
_cell_length_a 4.617
_cell_length_b 4.617
_cell_length_c 12.227
_cell_angle_alpha 90.00
_cell_angle_beta 90.00
_cell_angle_gamma 90.00
_symmetry_space_group_name_H-M 'P 4/m m m'
_symmetry_Int_Tables_number 123
_symmetry_space_group_name_Hall '-P 4 2'
loop_
_atom_site_label
_atom_site_type_symbol
_atom_site_fract_x
_atom_site_fract_y
_atom_site_fract_z
Gd1 Gd 0.000 0.000 0.194
In1 In 0.000 0.500 0.000
In2 In 0.000 0.500 0.381
In3 In 0.500 0.500 0.193
Co1 Co 0.000 0.000 0.500
# - Total DFT energy (no corrections): -41.88 eV/cell



(3)
# GaCoOs2 (GGA-PBE, relaxed)
data_GaCoOs2
_cell_length_a 6.013
_cell_length_b 6.013
_cell_length_c 6.013
_cell_angle_alpha 90.00
_cell_angle_beta 90.00
_cell_angle_gamma 90.00
_symmetry_space_group_name_H-M 'F -4 3 m'
_symmetry_Int_Tables_number 216
_symmetry_space_group_name_Hall 'F -4 2 3'
loop_
_atom_site_label
_atom_site_type_symbol
_atom_site_fract_x
_atom_site_fract_y
_atom_site_fract_z
Ga1 Ga 0.000 0.000 0.000
Co1 Co 0.250 0.250 0.250
Os1 Os 0.000 0.000 0.500
Os2 Os 0.250 0.250 0.750
# - Total DFT energy (no corrections): -125.90 eV/cell



(4)
# BeRe2Si (GGA-PBE, relaxed)
data_BeRe2Si
_cell_length_a 5.924
_cell_length_b 5.924
_cell_length_c 5.924
_cell_angle_alpha 90.00
_cell_angle_beta 90.00
_cell_angle_gamma 90.00
_symmetry_space_group_name_H-M 'F -4 3 m'
_symmetry_Int_Tables_number 216
_symmetry_space_group_name_Hall 'F -4 2 3'
loop_
_atom_site_label
_atom_site_type_symbol
_atom_site_fract_x
_atom_site_fract_y
_atom_site_fract_z
Be1 Be 0.000 0.000 0.000
Re1 Re 0.000 0.000 0.500
Re2 Re 0.250 0.250 0.250
Si1 Si 0.250 0.250 0.750
# - Total DFT energy (no corrections): -133.73 eV/cell



(5)
# AcTmTe (GGA-PBE, relaxed)
data_AcTmTe
_cell_length_a 7.581
_cell_length_b 7.581
_cell_length_c 7.581
_cell_angle_alpha 90.00
_cell_angle_beta 90.00
_cell_angle_gamma 90.00
_symmetry_space_group_name_H-M 'F -4 3 m'
_symmetry_Int_Tables_number 216
_symmetry_space_group_name_Hall 'F -4 2 3'
loop_
_atom_site_label
_atom_site_type_symbol
_atom_site_fract_x
_atom_site_fract_y
_atom_site_fract_z
Ac1 Ac 0.000 0.000 0.000
Tm1 Tm 0.000 0.000 0.500
Te1 Te 0.250 0.250 0.250
# - Total DFT energy (no corrections): -51.51 eV/cell
# - Relative energy among the computed polymorphs: 0.00 eV/f.u.



(6)
# Cd2TcGeP4 (GGA-PBE, relaxed)
data_Cd2TcGeP4
_cell_length_a 5.783
_cell_length_b 5.783
_cell_length_c 10.901
_cell_angle_alpha 90.00
_cell_angle_beta 90.00
_cell_angle_gamma 90.00
_symmetry_space_group_name_H-M 'I -4'
_symmetry_Int_Tables_number 82
loop_
_symmetry_equiv_pos_as_xyz
'x,y,z'
'y,-x,-z'
'-x,-y,z'
'-y,x,-z'
'x+1/2,y+1/2,z+1/2'
'y+1/2,-x+1/2,-z+1/2'
'-x+1/2,-y+1/2,z+1/2'
'-y+1/2,x+1/2,-z+1/2'
loop_
_atom_site_label
_atom_site_type_symbol
_atom_site_fract_x
_atom_site_fract_y
_atom_site_fract_z
Cd1 Cd 0.000 0.000 0.000
Cd2 Cd 0.000 0.500 0.250
Tc1 Tc 0.000 0.000 0.500
Ge1 Ge 0.000 0.500 0.750
P1 P 0.208 0.243 0.621
# - Total DFT energy (no corrections): -76.99 eV/cell